# PBE Pm2Er2Ni15, optimized geometry
# Crystal system: trigonal
# Total magnetic moment (μB/f.u.): 2.11
# VASP energy (eV per atom): -5.78
data_Pm2Er2Ni15
_space_group_name_H-M_alt 'R -3 m'
_space_group_IT_number 166
_space_group_name_Hall '-R 3 2"'
_cell_length_a 8.5595
_cell_length_b 8.5595
_cell_length_c 12.6524
_cell_angle_alpha 90.00
_cell_angle_beta 90.00
_cell_angle_gamma 120.00
loop_
_atom_site_label
_atom_site_fract_x
_atom_site_fract_y
_atom_site_fract_z
Pm1 0.0000 0.0000 0.1414
Er1 0.0000 0.0000 0.3894
Ni1 0.0000 0.3056 0.5000
Ni2 0.0000 0.5000 0.0000
Ni3 0.0082 0.5041 0.6568